RbZrAsO2 after structural relaxation. Source: Alexandria, functional PBE-GGA.

a = 4.186 Å, b = 10.418 Å, c = 4.186 Å
α = 90.00°, β = 90.00°, γ = 90.00°
Atoms (fractional coordinates):
O  0.000  0.000  0.500
O  0.500  0.000  0.000
As  0.500  0.500  0.500
Rb  0.000  0.500  0.000
Zr  0.000  0.000  0.000

The value obtained for the density of states at the Fermi level is 4.86 states/eV/cell. Its polymorph energy (0 for the lowest one) is 0.0 meV/atom. For the formation energy from raw total energies, the calculation gives -0.886 eV per atom. The calculation puts the electronic total energy at -5.702 eV/atom.